Record 1
La3NdAg2 after structural relaxation, computed with PBE-GGA.

extended XYZ file:
```
6
Lattice="3.8050 0.0000 0.0000 0.0000 3.8050 0.0000 0.0000 0.0000 12.7613" Properties=species:S:1:pos:R:3 pbc="T T T"
La 0.0000 0.0000 0.0000
La 0.0000 0.0000 3.8407
La 0.0000 0.0000 8.9206
Nd 1.9025 1.9025 6.3807
Ag 1.9025 1.9025 1.9574
Ag 1.9025 1.9025 10.8039
```

Results
For the theoretical density, the calculation gives 6.980 Mg/m³. The space-group type is P4/mmm. The value obtained for the formation energy is -160 meV/atom. Its electronic total energy is -4.369 eV per atom.


Record 2
LaCoRe2 after structural relaxation, computed with PBE-GGA.

extended XYZ file:
```
16
Lattice="6.5181 0.0000 0.0000 0.0000 6.5181 0.0000 0.0000 0.0000 6.5181" Properties=species:S:1:pos:R:3 pbc="T T T"
La 0.0000 0.0000 0.0000
La 0.0000 3.2591 3.2591
La 3.2591 0.0000 3.2591
La 3.2591 3.2591 0.0000
Co 1.6295 1.6295 1.6295
Co 1.6295 4.8886 4.8886
Co 4.8886 1.6295 4.8886
Co 4.8886 4.8886 1.6295
Re 0.0000 0.0000 3.2591
Re 0.0000 3.2591 0.0000
Re 1.6295 1.6295 4.8886
Re 1.6295 4.8886 1.6295
Re 3.2591 0.0000 0.0000
Re 3.2591 3.2591 3.2591
Re 4.8886 1.6295 1.6295
Re 4.8886 4.8886 4.8886
```

Results
For the theoretical density, the calculation gives 13.677 Mg/m³. The space-group type is F-43m. The value obtained for the formation energy is 579 meV/atom. As for the excess energy over the best structure of this formula in the dataset: 0.413 eV per atom. Its electronic total energy is -8.653 eV per atom.


Record 3
CaNdSmTm after structural relaxation, computed with PBE-GGA.

extended XYZ file:
```
16
Lattice="8.2053 0.0000 0.0000 0.0000 8.2053 0.0000 0.0000 0.0000 8.2053" Properties=species:S:1:pos:R:3 pbc="T T T"
Ca 0.0000 0.0000 0.0000
Ca 0.0000 4.1026 4.1026
Ca 4.1026 0.0000 4.1026
Ca 4.1026 4.1026 0.0000
Nd 2.0513 2.0513 2.0513
Nd 2.0513 6.1540 6.1540
Nd 6.1540 2.0513 6.1540
Nd 6.1540 6.1540 2.0513
Sm 2.0513 2.0513 6.1540
Sm 2.0513 6.1540 2.0513
Sm 6.1540 2.0513 2.0513
Sm 6.1540 6.1540 6.1540
Tm 0.0000 0.0000 4.1026
Tm 0.0000 4.1026 0.0000
Tm 4.1026 0.0000 0.0000
Tm 4.1026 4.1026 4.1026
```

Results
For the theoretical density, the calculation gives 6.055 Mg/m³. The space-group type is F-43m. The value obtained for the formation energy is 122 meV/atom. Its electronic total energy is -3.868 eV per atom.


Record 4
PuPaSiIr after structural relaxation, computed with PBE-GGA.

extended XYZ file:
```
8
Lattice="4.0197 0.0000 0.0000 0.0000 4.0122 0.0000 0.0000 0.0000 10.6654" Properties=species:S:1:pos:R:3 pbc="T T T"
Pu 0.0000 0.0000 0.0000
Pu 0.0000 2.0061 5.3327
Pa 2.0099 0.0000 3.0889
Pa 2.0099 2.0061 8.4216
Si 2.0099 0.0000 6.1473
Si 2.0099 2.0061 0.8146
Ir 0.0000 0.0000 7.8181
Ir 0.0000 2.0061 2.4854
```

Results
For the theoretical density, the calculation gives 13.425 Mg/m³. The space-group type is Amm2. The calculation puts the formation energy without anion corrections at -0.66 eV/atom. Its electronic total energy is -10.187 eV per atom.


Record 5
ScZn4Cu4 after structural relaxation, computed with PBE-GGA.

extended XYZ file:
```
9
Lattice="-4.3025 4.3025 1.7363 4.3025 -4.3025 1.7363 4.3025 4.3025 -1.7363" Properties=species:S:1:pos:R:3 pbc="T T T"
Sc 0.0000 0.0000 0.0000
Zn 2.8220 0.0000 0.0000
Zn 5.7829 0.0000 0.0000
Zn 0.0000 2.8220 0.0000
Zn 0.0000 5.7829 0.0000
Cu 2.8067 2.8067 0.0000
Cu 1.4957 -1.4957 1.7363
Cu -1.4957 1.4957 1.7363
Cu 1.4957 1.4957 1.7363
```

Results
For the theoretical density, the calculation gives 7.243 Mg/m³. The space-group type is I4/mmm. The value obtained for the formation energy is -108 meV/atom. Its electronic total energy is -3.198 eV per atom.


Record 6
LiDy2AgAu4 after structural relaxation, computed with PBE-GGA.

extended XYZ file:
```
8
Lattice="2.4495 1.4142 7.8591 -2.4495 1.4142 7.8591 0.0000 -2.8284 7.8591" Properties=species:S:1:pos:R:3 pbc="T T T"
Li 0.0000 0.0000 0.0000
Dy 0.0000 0.0000 5.7945
Dy 0.0000 0.0000 17.7827
Ag 0.0000 0.0000 11.7886
Au 0.0000 0.0000 2.7671
Au 0.0000 0.0000 8.7638
Au 0.0000 0.0000 14.8134
Au 0.0000 0.0000 20.8101
```

Results
For the theoretical density, the calculation gives 12.480 Mg/m³. The space-group type is R-3m. The value obtained for the formation energy is -671 meV/atom. Its electronic total energy is -4.055 eV per atom.


Record 7
NpZnSn after structural relaxation, computed with PBE-GGA.

extended XYZ file:
```
12
Lattice="6.6705 0.0000 0.0000 0.0000 6.6705 0.0000 0.0000 0.0000 6.6705" Properties=species:S:1:pos:R:3 pbc="T T T"
Np 0.0000 0.0000 0.0000
Np 0.0000 3.3353 3.3353
Np 3.3353 0.0000 3.3353
Np 3.3353 3.3353 0.0000
Zn 1.6676 1.6676 1.6676
Zn 1.6676 5.0029 5.0029
Zn 5.0029 1.6676 5.0029
Zn 5.0029 5.0029 1.6676
Sn 0.0000 0.0000 3.3353
Sn 0.0000 3.3353 0.0000
Sn 3.3353 0.0000 0.0000
Sn 3.3353 3.3353 3.3353
```

Results
For the theoretical density, the calculation gives 9.424 Mg/m³. The space-group type is F-43m. The value obtained for the formation energy is 156 meV/atom. Its electronic total energy is -5.917 eV per atom.


Record 8
PPtBr2 after structural relaxation, computed with PBE-GGA.

extended XYZ file:
```
8
Lattice="3.4122 0.0000 0.0000 0.0000 7.7810 0.0000 0.0000 0.0000 9.2569" Properties=species:S:1:pos:R:3 pbc="T T T"
P 0.0000 0.0000 0.0000
P 1.7061 3.8905 0.0000
Pt 0.0000 3.8905 7.8191
Pt 1.7061 0.0000 7.8191
Br 0.0000 0.0000 5.8834
Br 0.0000 3.8905 2.1749
Br 1.7061 0.0000 2.1749
Br 1.7061 3.8905 5.8834
```

Results
For the theoretical density, the calculation gives 5.214 Mg/m³. The space-group type is Cmm2. The calculation puts the formation energy without anion corrections at 0.06 eV/atom. Its electronic total energy is -3.635 eV per atom.